No. 1
Entry from the Alexandria database: a relaxed structure of AsPRu2 (GGA-PBEsol).

Excess energy over the best structure of this formula in the dataset: 0.000 eV per atom
Formation energy: -1.23 eV/f.u.

```
data_AsPRu2
_chemical_formula_sum 'As1 P1 Ru2'
_cell_length_a 3.078
_cell_length_b 4.265
_cell_length_c 4.885
_cell_angle_alpha 103.22
_cell_angle_beta 90.00
_cell_angle_gamma 111.15
_space_group_name_H-M_alt 'P 1'
_space_group_IT_number 1
loop_
_space_group_symop_operation_xyz
'x,y,z'
loop_
_atom_site_label
_atom_site_type_symbol
_atom_site_fract_x
_atom_site_fract_y
_atom_site_fract_z
_atom_site_occupancy
P1 P 0.734 0.469 0.089 1
As1 As 0.497 0.993 0.536 1
Ru1 Ru 0.241 0.482 0.735 1
Ru2 Ru 0.028 0.056 0.140 1
```

No. 2
Entry from the Alexandria database: a relaxed structure of BaAl9Ni2 (GGA-PBEsol).

Formation energy: -4.47 eV/f.u.

```
data_BaAl9Ni2
_chemical_formula_sum 'Ba1 Al9 Ni2'
_cell_length_a 3.934
_cell_length_b 7.896
_cell_length_c 7.896
_cell_angle_alpha 120.00
_cell_angle_beta 90.00
_cell_angle_gamma 90.00
_space_group_name_H-M_alt 'P 1'
_space_group_IT_number 1
loop_
_space_group_symop_operation_xyz
'x,y,z'
loop_
_atom_site_label
_atom_site_type_symbol
_atom_site_fract_x
_atom_site_fract_y
_atom_site_fract_z
_atom_site_occupancy
Ni1 Ni 0.000 0.333 0.667 1
Ni2 Ni 0.000 0.667 0.333 1
Al1 Al 0.500 0.213 0.427 1
Al2 Al 0.500 0.787 0.573 1
Al3 Al 0.500 0.213 0.787 1
Al4 Al 0.500 0.573 0.787 1
Al5 Al 0.000 0.500 0.000 1
Al6 Al 0.000 0.500 0.500 1
Al7 Al 0.000 0.000 0.500 1
Al8 Al 0.500 0.427 0.213 1
Al9 Al 0.500 0.787 0.213 1
Ba1 Ba 0.000 0.000 0.000 1
```

No. 3
Entry from the Alexandria database: a relaxed structure of HgRh (GGA-PBEsol).

Formation energy: 0.42 eV/f.u.

```
data_HgRh
_chemical_formula_sum 'Hg2 Rh2'
_cell_length_a 2.930
_cell_length_b 2.930
_cell_length_c 8.902
_cell_angle_alpha 90.00
_cell_angle_beta 90.00
_cell_angle_gamma 120.00
_space_group_name_H-M_alt 'P 1'
_space_group_IT_number 1
loop_
_space_group_symop_operation_xyz
'x,y,z'
loop_
_atom_site_label
_atom_site_type_symbol
_atom_site_fract_x
_atom_site_fract_y
_atom_site_fract_z
_atom_site_occupancy
Hg1 Hg 0.000 0.000 0.000 1
Hg2 Hg 0.000 0.000 0.500 1
Rh1 Rh 0.667 0.333 0.750 1
Rh2 Rh 0.333 0.667 0.250 1
```

No. 4
Entry from the Alexandria database: a relaxed structure of ZrZn2Fe (GGA-PBEsol).

Formation energy: -0.10 eV/f.u.

```
data_ZrZn2Fe
_chemical_formula_sum 'Zr1 Zn2 Fe1'
_cell_length_a 4.107
_cell_length_b 4.542
_cell_length_c 4.107
_cell_angle_alpha 116.88
_cell_angle_beta 90.00
_cell_angle_gamma 116.88
_space_group_name_H-M_alt 'P 1'
_space_group_IT_number 1
loop_
_space_group_symop_operation_xyz
'x,y,z'
loop_
_atom_site_label
_atom_site_type_symbol
_atom_site_fract_x
_atom_site_fract_y
_atom_site_fract_z
_atom_site_occupancy
Zn1 Zn 0.000 0.000 0.000 1
Zn2 Zn 0.750 0.500 0.250 1
Fe1 Fe 0.250 0.500 0.750 1
Zr1 Zr 0.500 0.000 0.500 1
```

No. 5
Entry from the Alexandria database: a relaxed structure of NaFeRuO4 (GGA-PBEsol).

Formation energy (no corrections): -1281 meV/atom

```
data_NaFeRuO4
_chemical_formula_sum 'Na4 Fe4 Ru4 O16'
_cell_length_a 2.757
_cell_length_b 9.102
_cell_length_c 10.665
_cell_angle_alpha 90.00
_cell_angle_beta 90.00
_cell_angle_gamma 90.00
_space_group_name_H-M_alt 'P 1'
_space_group_IT_number 1
loop_
_space_group_symop_operation_xyz
'x,y,z'
loop_
_atom_site_label
_atom_site_type_symbol
_atom_site_fract_x
_atom_site_fract_y
_atom_site_fract_z
_atom_site_occupancy
Ru1 Ru 0.250 0.068 0.120 1
Ru2 Ru 0.750 0.432 0.620 1
Ru3 Ru 0.250 0.568 0.380 1
Ru4 Ru 0.750 0.932 0.880 1
Na1 Na 0.250 0.742 0.152 1
Na2 Na 0.750 0.758 0.652 1
Na3 Na 0.750 0.258 0.848 1
Na4 Na 0.250 0.242 0.348 1
O1 O 0.250 0.277 0.661 1
O2 O 0.250 0.584 0.567 1
O3 O 0.250 0.485 0.208 1
O4 O 0.750 0.723 0.339 1
O5 O 0.250 0.890 0.516 1
O6 O 0.750 0.515 0.792 1
O7 O 0.750 0.110 0.484 1
O8 O 0.250 0.084 0.933 1
O9 O 0.750 0.916 0.067 1
O10 O 0.750 0.015 0.708 1
O11 O 0.750 0.610 0.016 1
O12 O 0.750 0.416 0.433 1
O13 O 0.250 0.390 0.984 1
O14 O 0.250 0.777 0.839 1
O15 O 0.750 0.223 0.161 1
O16 O 0.250 0.985 0.292 1
Fe1 Fe 0.750 0.923 0.398 1
Fe2 Fe 0.750 0.423 0.102 1
Fe3 Fe 0.250 0.077 0.602 1
Fe4 Fe 0.250 0.577 0.898 1
```

No. 6
Entry from the Alexandria database: a relaxed structure of TbAlGa (GGA-PBEsol).

Formation energy: -1.85 eV/f.u.

```
data_TbAlGa
_chemical_formula_sum 'Tb1 Al1 Ga1'
_cell_length_a 3.532
_cell_length_b 4.414
_cell_length_c 4.414
_cell_angle_alpha 120.00
_cell_angle_beta 90.00
_cell_angle_gamma 90.00
_space_group_name_H-M_alt 'P 1'
_space_group_IT_number 1
loop_
_space_group_symop_operation_xyz
'x,y,z'
loop_
_atom_site_label
_atom_site_type_symbol
_atom_site_fract_x
_atom_site_fract_y
_atom_site_fract_z
_atom_site_occupancy
Ga1 Ga 0.500 0.333 0.667 1
Al1 Al 0.500 0.667 0.333 1
Tb1 Tb 0.000 0.000 0.000 1
```

No. 7
Entry from the Alexandria database: a relaxed structure of Mo2RhW (GGA-PBEsol).

Excess energy over the best structure of this formula in the dataset: 0.000 eV per atom
Formation energy: 0.36 eV/f.u.

```
data_Mo2RhW
_chemical_formula_sum 'Mo2 Rh1 W1'
_cell_length_a 2.676
_cell_length_b 4.394
_cell_length_c 5.180
_cell_angle_alpha 90.00
_cell_angle_beta 100.36
_cell_angle_gamma 90.00
_space_group_name_H-M_alt 'P 1'
_space_group_IT_number 1
loop_
_space_group_symop_operation_xyz
'x,y,z'
loop_
_atom_site_label
_atom_site_type_symbol
_atom_site_fract_x
_atom_site_fract_y
_atom_site_fract_z
_atom_site_occupancy
W1 W 0.000 0.500 0.500 1
Mo1 Mo 0.779 0.000 0.748 1
Mo2 Mo 0.221 0.000 0.252 1
Rh1 Rh 0.500 0.500 0.000 1
```

No. 8
Entry from the Alexandria database: a relaxed structure of MgTlPb2 (GGA-PBEsol).

Formation energy: -0.03 eV/f.u.

```
data_MgTlPb2
_chemical_formula_sum 'Mg1 Tl1 Pb2'
_cell_length_a 3.619
_cell_length_b 5.584
_cell_length_c 6.340
_cell_angle_alpha 116.13
_cell_angle_beta 106.59
_cell_angle_gamma 90.00
_space_group_name_H-M_alt 'P 1'
_space_group_IT_number 1
loop_
_space_group_symop_operation_xyz
'x,y,z'
loop_
_atom_site_label
_atom_site_type_symbol
_atom_site_fract_x
_atom_site_fract_y
_atom_site_fract_z
_atom_site_occupancy
Mg1 Mg 0.246 0.746 0.492 1
Pb1 Pb 0.985 0.985 0.969 1
Pb2 Pb 0.753 0.253 0.507 1
Tl1 Tl 0.516 0.516 0.031 1
```

No. 9
Entry from the Alexandria database: a relaxed structure of BaMnZnRh2 (GGA-PBEsol).

Formation energy: 9.64 eV/f.u.

```
data_BaMnZnRh2
_chemical_formula_sum 'Ba1 Mn1 Zn1 Rh2'
_cell_length_a 4.984
_cell_length_b 4.984
_cell_length_c 5.396
_cell_angle_alpha 90.00
_cell_angle_beta 90.00
_cell_angle_gamma 90.00
_space_group_name_H-M_alt 'P 1'
_space_group_IT_number 1
loop_
_space_group_symop_operation_xyz
'x,y,z'
loop_
_atom_site_label
_atom_site_type_symbol
_atom_site_fract_x
_atom_site_fract_y
_atom_site_fract_z
_atom_site_occupancy
Rh1 Rh 0.000 0.500 0.000 1
Rh2 Rh 0.500 0.000 0.000 1
Mn1 Mn 0.500 0.500 0.500 1
Zn1 Zn 0.000 0.000 0.500 1
Ba1 Ba 0.000 0.000 0.000 1
```

No. 10
Entry from the Alexandria database: a relaxed structure of TaSi3Ag (GGA-PBEsol).

Formation energy (no corrections): 824 meV/atom

```
data_TaSi3Ag
_chemical_formula_sum 'Ta1 Si3 Ag1'
_cell_length_a 4.822
_cell_length_b 4.822
_cell_length_c 4.822
_cell_angle_alpha 90.00
_cell_angle_beta 90.00
_cell_angle_gamma 90.00
_space_group_name_H-M_alt 'P 1'
_space_group_IT_number 1
loop_
_space_group_symop_operation_xyz
'x,y,z'
loop_
_atom_site_label
_atom_site_type_symbol
_atom_site_fract_x
_atom_site_fract_y
_atom_site_fract_z
_atom_site_occupancy
Si1 Si 0.000 0.000 0.500 1
Si2 Si 0.500 0.000 0.000 1
Si3 Si 0.000 0.500 0.000 1
Ag1 Ag 0.500 0.500 0.500 1
Ta1 Ta 0.000 0.000 0.000 1
```

No. 11
Entry from the Alexandria database: a relaxed structure of SnPCl2 (GGA-PBEsol).

Formation energy (no corrections): 236 meV/atom
Excess energy over the best structure of this formula in the dataset: 0.333 eV per atom

```
data_SnPCl2
_chemical_formula_sum 'Sn1 P1 Cl2'
_cell_length_a 4.942
_cell_length_b 4.942
_cell_length_c 4.942
_cell_angle_alpha 60.00
_cell_angle_beta 60.00
_cell_angle_gamma 60.00
_space_group_name_H-M_alt 'P 1'
_space_group_IT_number 1
loop_
_space_group_symop_operation_xyz
'x,y,z'
loop_
_atom_site_label
_atom_site_type_symbol
_atom_site_fract_x
_atom_site_fract_y
_atom_site_fract_z
_atom_site_occupancy
Sn1 Sn 0.500 0.500 0.500 1
Cl1 Cl 0.750 0.750 0.750 1
Cl2 Cl 0.250 0.250 0.250 1
P1 P 0.000 0.000 0.000 1
```